Below is crystalline LiWI3 at its relaxed geometry, with properties calculated at the GGA-PBE level.

Structure (POSCAR):
```
LiWI3
1.0
5.3534 0.0000 0.0000
0.0000 5.3534 0.0000
0.0000 0.0000 5.3534
I Li W
3 1 1
Direct
0.5000 0.0000 0.0000
0.0000 0.0000 0.5000
0.0000 0.5000 0.0000
0.0000 0.0000 0.0000
0.5000 0.5000 0.5000
```

Summary:
Raw formation energy ... 0.91 eV per atom
Energy relative to the lowest polymorph listed for this composition ... 0.613 eV per atom
VASP energy ... -2.993 eV/atom
SG ... Pm-3m
Crystal system ... cubic


Below is crystalline RbCe2BrO4 at its relaxed geometry, with properties calculated at the GGA-PBE level.

Structure (POSCAR):
```
RbCe2BrO4
1.0
4.0357 0.0000 0.0000
0.0000 4.0357 0.0000
0.0000 0.0000 10.3565
O Ce Rb Br
4 2 1 1
Direct
0.0000 0.5000 0.7938
0.5000 0.0000 0.7938
0.0000 0.5000 0.2062
0.5000 0.0000 0.2062
0.5000 0.5000 0.7231
0.5000 0.5000 0.2769
0.0000 0.0000 0.0000
0.0000 0.0000 0.5000
```

Summary:
Raw formation energy ... -2.62 eV per atom
VASP energy ... -6.909 eV/atom
SG ... P4/mmm
Crystal system ... tetragonal


Below is crystalline La4BiAu at its relaxed geometry, with properties calculated at the GGA-PBE level.

Structure (POSCAR):
```
La4BiAu
1.0
-2.0232 -5.5024 -2.4552
-0.2963 -3.1287 7.2649
-6.6811 6.1598 -0.0803
Bi Au La
2 2 8
Direct
0.1138 0.2500 0.9998
0.8862 0.7500 0.0002
0.0000 0.5000 0.5000
0.5000 0.0000 0.5000
0.0532 0.1261 0.3311
0.2781 0.6261 0.3313
0.4665 0.9515 0.1521
0.9468 0.8739 0.6689
0.5335 0.0485 0.8479
0.7219 0.3739 0.6687
0.3154 0.5489 0.8479
0.6846 0.4511 0.1521
```

Summary:
VASP energy ... -4.956 eV/atom
SG ... C2/c
Crystal system ... monoclinic


Below is crystalline ZnCuNi6 at its relaxed geometry, with properties calculated at the GGA-PBE level.

Structure (POSCAR):
```
ZnCuNi6
1.0
6.1599 -0.0104 0.0000
-2.0657 5.8032 0.0000
0.0000 0.0000 10.0741
Zn Ni Cu
4 24 4
Direct
0.2490 0.7510 0.2500
0.0000 0.0000 0.9995
0.0000 0.0000 0.5005
0.7510 0.2490 0.2500
0.0000 0.0000 0.7500
0.1271 0.3765 0.1240
0.1263 0.3769 0.8741
0.5000 0.5000 0.2500
0.6231 0.8737 0.8741
0.2505 0.7495 0.5016
0.1271 0.3765 0.3760
0.7495 0.2505 0.9984
0.3769 0.1263 0.6259
0.0000 0.0000 0.2500
0.8729 0.6235 0.3760
0.3765 0.1271 0.3760
0.2505 0.7495 0.9984
0.6235 0.8729 0.1240
0.3765 0.1271 0.1240
0.5000 0.5000 0.7500
0.8737 0.6231 0.8741
0.6235 0.8729 0.3760
0.8729 0.6235 0.1240
0.1263 0.3769 0.6259
0.3769 0.1263 0.8741
0.8737 0.6231 0.6259
0.7495 0.2505 0.5016
0.6231 0.8737 0.6259
0.2491 0.7509 0.7500
0.5000 0.5000 0.9992
0.5000 0.5000 0.5008
0.7509 0.2491 0.7500
```

Summary:
Energy relative to the lowest polymorph listed for this composition ... 0.000 eV per atom
VASP energy ... -5.045 eV/atom
SG ... Cmmm
Crystal system ... orthorhombic


Below is crystalline Ba2IrRu at its relaxed geometry, with properties calculated at the GGA-PBE level.

Structure (POSCAR):
```
Ba2IrRu
1.0
-5.8096 6.3629 1.2957
-3.2590 -4.3609 6.8028
-2.5492 2.4329 5.9182
Ba Ru Ir
4 2 2
Direct
0.0890 0.6250 0.2500
0.8750 0.9110 0.7500
0.6610 0.1250 0.2500
0.3750 0.3390 0.7500
0.2500 0.7500 0.5000
0.5000 0.5000 0.0000
0.0000 0.0000 0.0000
0.7500 0.2500 0.5000
```

Summary:
VASP energy ... -4.604 eV/atom
SG ... I-42d
Crystal system ... tetragonal


Below is crystalline NaLiHg2Au at its relaxed geometry, with properties calculated at the GGA-PBE level.

Structure (POSCAR):
```
NaLiHg2Au
1.0
5.5230 0.0000 0.0000
0.0000 5.3521 0.0000
0.0000 0.0000 5.5230
Li Au Hg Na
1 1 2 1
Direct
0.5000 0.5000 0.5000
0.0000 0.5000 0.0000
0.5000 0.0000 0.0000
0.0000 0.0000 0.5000
0.0000 0.0000 0.0000
```

Summary:
Energy relative to the lowest polymorph listed for this composition ... 0.334 eV per atom
VASP energy ... -1.218 eV/atom
SG ... P4/mmm
Crystal system ... tetragonal


Below is crystalline CaHo2ScTl4 at its relaxed geometry, with properties calculated at the GGA-PBE level.

Structure (POSCAR):
```
CaHo2ScTl4
1.0
5.3215 0.0000 0.0000
2.6608 4.6086 0.0000
2.6608 1.5362 8.6960
Tl Sc Ca Ho
4 1 1 2
Direct
0.8723 0.8723 0.3830
0.1277 0.1277 0.6170
0.3786 0.3786 0.8642
0.6214 0.6214 0.1358
0.5000 0.5000 0.5000
0.0000 0.0000 0.0000
0.7492 0.7492 0.7524
0.2508 0.2508 0.2476
```

Summary:
VASP energy ... -3.685 eV/atom
SG ... R-3m
Crystal system ... trigonal


Below is crystalline CsLiZnCo2 at its relaxed geometry, with properties calculated at the GGA-PBE level.

Structure (POSCAR):
```
CsLiZnCo2
1.0
-3.6563 1.0682 -2.5228
1.0200 -3.4345 -2.9326
-2.5480 -2.8717 2.4769
Li Cs Co Zn
1 1 2 1
Direct
0.0000 0.0000 0.0000
0.5000 0.5000 0.5000
0.5000 0.0000 0.0000
0.0000 0.0000 0.5000
0.0000 0.5000 0.0000
```

Summary:
VASP energy ... -2.460 eV/atom
SG ... P4/mmm
Crystal system ... tetragonal


Below is crystalline MnBe3B12 at its relaxed geometry, with properties calculated at the GGA-PBE level.

Structure (POSCAR):
```
MnBe3B12
1.0
-0.8576 3.0902 6.7289
3.5064 -2.8804 5.9141
4.7507 2.9915 3.5222
B Be Mn
24 6 2
Direct
0.4224 0.4583 0.2712
0.4795 0.7145 0.1000
0.3705 0.4733 0.9409
0.9386 0.3591 0.7425
0.3123 0.6916 0.0136
0.3662 0.9545 0.7392
0.4545 0.8662 0.2392
0.4664 0.2060 0.9577
0.9583 0.9224 0.7713
0.8744 0.7033 0.4471
0.2139 0.2139 0.5899
0.2145 0.9795 0.6000
0.9756 0.3134 0.0060
0.7139 0.7139 0.0898
0.6955 0.9877 0.0137
0.1916 0.8123 0.5135
0.4877 0.1955 0.5137
0.8591 0.4386 0.2425
0.7060 0.9664 0.4577
0.9831 0.1997 0.6121
0.6997 0.4831 0.1121
0.8134 0.4756 0.5060
0.2033 0.3744 0.9471
0.9732 0.8705 0.4410
0.1274 0.5357 0.6157
0.7302 0.1285 0.6150
0.2152 0.0356 0.1185
0.5356 0.7153 0.6185
0.0357 0.6274 0.1156
0.6285 0.2302 0.1150
0.4898 0.4888 0.5294
0.9888 0.9898 0.0294
```

Summary:
VASP energy ... -6.084 eV/atom
SG ... Cc
Crystal system ... monoclinic


Below is crystalline BaSbPO2 at its relaxed geometry, with properties calculated at the GGA-PBE level.

Structure (POSCAR):
```
BaSbPO2
1.0
4.3388 0.0000 0.0000
0.0000 4.3388 0.0000
0.0000 0.0000 5.0662
P O Sb Ba
1 2 1 1
Direct
0.0000 0.0000 0.5000
0.5000 0.0000 0.0000
0.0000 0.5000 0.0000
0.0000 0.0000 0.0000
0.5000 0.5000 0.5000
```

Summary:
Raw formation energy ... -1.04 eV per atom
Energy relative to the lowest polymorph listed for this composition ... 0.000 eV per atom
VASP energy ... -5.314 eV/atom
SG ... P4/mmm
Crystal system ... tetragonal


Below is crystalline Ag2TeP at its relaxed geometry, with properties calculated at the GGA-PBE level.

Structure (POSCAR):
```
Ag2TeP
1.0
5.4445 -0.0177 0.0162
1.9161 5.0963 -0.0162
-3.1546 -3.3012 2.9655
Ag Te P
2 1 1
Direct
0.9785 0.9785 0.0000
0.5215 0.5215 0.0000
0.2500 0.7500 0.5000
0.7500 0.2500 0.5000
```

Summary:
Raw formation energy ... 0.37 eV per atom
Energy relative to the lowest polymorph listed for this composition ... 0.165 eV per atom
VASP energy ... -3.195 eV/atom
SG ... Immm
Crystal system ... orthorhombic


Below is crystalline Nd3Ga3Au at its relaxed geometry, with properties calculated at the GGA-PBE level.

Structure (POSCAR):
```
Nd3Ga3Au
1.0
4.4846 0.0000 0.6755
2.2246 5.5027 0.4554
0.1709 -0.1715 14.0890
Nd Ga Au
6 6 2
Direct
0.6078 0.7111 0.0734
0.5403 0.3000 0.6193
0.7411 0.7471 0.7706
0.2589 0.2529 0.2294
0.3922 0.2889 0.9266
0.4597 0.7000 0.3807
0.1060 0.8652 0.9228
0.0277 0.1705 0.7741
0.8722 0.7159 0.5397
0.8940 0.1348 0.0772
0.9723 0.8295 0.2259
0.1278 0.2841 0.4603
0.7501 0.1102 0.3897
0.2499 0.8898 0.6103
```

Summary:
VASP energy ... -4.474 eV/atom
SG ... C2/m
Crystal system ... monoclinic